(1)
Mg2MnBr: optimized geometry, GGA-PBE.

a b c (Å): 5.7026 5.7026 5.2495
angles (deg): 68.88 68.88 33.53
Last column: nearest neighbours and their distance in Å.
Fractional coordinates of all 4 atoms:
Br: 0.7929 0.7929 0.7810  2 Mn 2.73, 1 Mg 2.80
Mg: 0.0037 0.0037 0.9621  1 Br 2.80, 2 Mn 2.92
Mn: 0.4827 0.4827 0.4360  2 Br 2.73, 4 Mg 2.92-2.94
Mg: 0.2207 0.2207 0.3209  3 Mn 2.94-3.14, 4 Br 3.11-3.25, 2 Mg 3.29

Values from the calculation:
For the energy above the most stable polymorph in this dataset, the calculation gives 0.168 eV/atom. The raw formation energy is 0.045 eV/atom. Its space group is Cm.

(2)
Li4Mg3Cd4: optimized geometry, GGA-PBE.

a b c (Å): 3.4878 3.4311 18.1090
angles (deg): 95.25 95.42 89.75
Last column: nearest neighbours and their distance in Å.
Fractional coordinates of all 11 atoms:
Cd: 0.4485 0.4481 0.8974  4 Li 2.82-2.84, 5 Mg 3.06-3.13
Li: 0.7271 0.7268 0.4574  5 Cd 2.86-3.02, 4 Li 2.87-2.91
Cd: 0.5514 0.5519 0.1026  4 Li 2.82-2.84, 5 Mg 3.06-3.13
Cd: 0.8144 0.8144 0.6254  5 Li 2.86-3.02, 4 Mg 3.01-3.02
Mg: 0.3614 0.3610 0.7232  5 Li 2.98-3.24, 5 Cd 3.01-3.13
Li: 0.0916 0.0918 0.1816  4 Cd 2.82-2.84, 4 Mg 2.98-2.99
Mg: 0.6386 0.6390 0.2768  5 Li 2.98-3.24, 5 Cd 3.01-3.13
Cd: 0.1856 0.1857 0.3746  5 Li 2.86-3.02, 4 Mg 3.01-3.02
Li: 0.9083 0.9082 0.8184  4 Cd 2.82-2.84, 4 Mg 2.98-2.99
Mg: 0.9999 0.0000 0.0000  8 Cd 3.06-3.07, 2 Li 3.26
Li: 0.2729 0.2732 0.5427  5 Cd 2.86-3.02, 4 Li 2.87-2.91

Values from the calculation:
For the energy above the most stable polymorph in this dataset, the calculation gives 0.000 eV/atom. The calculated formation energy is -0.191 eV per atom. Its space group is P-1.

(3)
Ti4ZnO2: optimized geometry, GGA-PBE.

a b c (Å): 3.2086 5.4285 10.5450
angles (deg): 90.00 90.00 107.19
Last column: nearest neighbours and their distance in Å.
Fractional coordinates of all 14 atoms:
Ti: 0.7545 0.5090 0.3965  3 O 2.11-2.12
O: 0.8716 0.7431 0.5600  6 Ti 2.06-2.18
O: 0.8716 0.7431 0.9400  6 Ti 2.06-2.18
Ti: 0.2455 0.4910 0.8965  3 O 2.11-2.12
Ti: 0.2455 0.4910 0.6035  3 O 2.11-2.12
O: 0.1284 0.2569 0.4400  6 Ti 2.06-2.18
Ti: 0.0820 0.1641 0.2500  2 O 2.06
Ti: 0.5000 0.0000 0.5000  4 O 2.18
Zn: 0.6117 0.2234 0.7500  8 Ti 2.57-2.88
Ti: 0.7545 0.5090 0.1035  3 O 2.11-2.12
Ti: 0.5000 0.0000 0.0000  4 O 2.18
Ti: 0.9180 0.8359 0.7500  2 O 2.06
Zn: 0.3883 0.7766 0.2500  8 Ti 2.57-2.88
O: 0.1284 0.2569 0.0600  6 Ti 2.06-2.18

Values from the calculation:
The raw formation energy is -1.529 eV/atom. Its space group is Cmcm.

(4)
HoZrCuOs: optimized geometry, GGA-PBE.

a b c (Å): 4.7383 4.7383 4.7383
angles (deg): 60.00 60.00 60.00
Last column: nearest neighbours and their distance in Å.
Fractional coordinates of all 4 atoms:
Ho: 0.7500 0.7500 0.7500  4 Os 2.90, 4 Cu 2.90
Cu: 0.5000 0.5000 0.5000  4 Ho 2.90, 4 Zr 2.90
Os: 0.0000 0.0000 0.0000  4 Zr 2.90, 4 Ho 2.90
Zr: 0.2500 0.2500 0.2500  4 Os 2.90, 4 Cu 2.90

Values from the calculation:
The calculated formation energy is -0.279 eV per atom. Its space group is F-43m.

(5)
Ac2Eu: optimized geometry, GGA-PBE.

a b c (Å): 7.4427 7.4427 7.4427
angles (deg): 60.00 60.00 60.00
Last column: nearest neighbours and their distance in Å.
Fractional coordinates of all 6 atoms:
Ac: 0.6250 0.6250 0.6250  6 Ac 3.72
Eu: 0.2500 0.2500 0.2500  12 Ac 4.36, 4 Eu 4.56
Ac: 0.6250 0.6250 0.1250  6 Ac 3.72
Ac: 0.1250 0.6250 0.6250  6 Ac 3.72
Ac: 0.6250 0.1250 0.6250  6 Ac 3.72
Eu: 0.0000 0.0000 0.0000  12 Ac 4.36, 4 Eu 4.56

Values from the calculation:
The calculated formation energy is 0.211 eV per atom. Its space group is Fd-3m.

(6)
TaCrIr2: optimized geometry, GGA-PBE.

a b c (Å): 4.7622 4.7622 4.7685
angles (deg): 80.80 80.80 34.15
Last column: nearest neighbours and their distance in Å.
Fractional coordinates of all 4 atoms:
Ir: 0.7464 0.7464 0.7434  4 Cr 2.65-2.88, 3 Ta 2.67-2.74, 5 Ir 2.80-2.85
Ta: 0.4969 0.4969 0.5167  7 Ir 2.67-2.81, 2 Ta 2.80, 3 Cr 2.81-2.93
Cr: 0.2589 0.2589 0.2111  7 Ir 2.61-2.88, 2 Cr 2.80, 1 Ta 2.81
Ir: 0.9978 0.9978 0.0287  3 Cr 2.61-2.66, 4 Ta 2.71-2.81, 5 Ir 2.80-2.85

Values from the calculation:
For the energy above the most stable polymorph in this dataset, the calculation gives 0.172 eV/atom. The calculated formation energy is -0.265 eV per atom. Its space group is Cm.

(7)
PuIn3Pd12: optimized geometry, GGA-PBE.

a b c (Å): 4.0752 4.0752 16.1893
angles (deg): 90.00 90.00 90.00
Last column: nearest neighbours and their distance in Å.
Fractional coordinates of all 16 atoms:
Pd: 0.5000 0.5000 0.7480  8 Pd 2.86-2.87, 4 In 2.88
Pd: 0.5000 0.0000 0.6231  4 In 2.83-2.85, 8 Pd 2.85-2.88
Pd: 0.5000 0.5000 0.2520  8 Pd 2.86-2.87, 4 In 2.88
Pd: 0.5000 0.0000 0.1279  8 Pd 2.86-2.90, 2 In 2.90, 2 Pu 2.90
Pd: 0.0000 0.5000 0.6231  4 In 2.83-2.85, 8 Pd 2.85-2.88
Pd: 0.0000 0.5000 0.1279  8 Pd 2.86-2.90, 2 In 2.90, 2 Pu 2.90
In: 0.0000 0.0000 0.2556  12 Pd 2.83-2.90
Pd: 0.5000 0.5000 0.0000  4 Pu 2.88, 8 Pd 2.90
Pd: 0.5000 0.0000 0.3769  4 In 2.83-2.85, 8 Pd 2.85-2.88
Pd: 0.5000 0.0000 0.8721  8 Pd 2.86-2.90, 2 In 2.90, 2 Pu 2.90
Pd: 0.0000 0.5000 0.3769  4 In 2.83-2.85, 8 Pd 2.85-2.88
Pd: 0.5000 0.5000 0.5000  8 Pd 2.85, 4 In 2.88
Pu: 0.0000 0.0000 0.0000  12 Pd 2.88-2.90
In: 0.0000 0.0000 0.7444  12 Pd 2.83-2.90
In: 0.0000 0.0000 0.5000  12 Pd 2.85-2.88
Pd: 0.0000 0.5000 0.8721  8 Pd 2.86-2.90, 2 In 2.90, 2 Pu 2.90

Values from the calculation:
The calculated formation energy is -0.465 eV per atom. Its space group is P4/mmm.

(8)
Pm6DyHo2Th: optimized geometry, GGA-PBE.

a b c (Å): 9.6407 8.8472 8.8472
angles (deg): 116.14 93.75 93.75
Last column: nearest neighbours and their distance in Å.
Fractional coordinates of all 20 atoms:
Th: 0.7500 0.0310 0.9690  4 Ho 3.39-3.49, 6 Pm 3.44-3.78
Ho: 0.9485 0.7062 0.7986  5 Pm 3.31-3.50, 2 Th 3.39-3.49, 1 Dy 3.52
Pm: 0.3824 0.5157 0.2961  4 Pm 3.28-3.65, 3 Ho 3.31-3.48, 2 Dy 3.44-3.56
Pm: 0.6176 0.4843 0.7039  4 Pm 3.28-3.65, 3 Ho 3.31-3.48, 2 Dy 3.44-3.56
Pm: 0.6873 0.0103 0.5732  1 Pm 3.29, 1 Th 3.44, 1 Dy 3.45, 1 Ho 3.45
Pm: 0.8127 0.4268 0.9897  1 Pm 3.29, 1 Th 3.44, 1 Dy 3.45, 1 Ho 3.45
Th: 0.2500 0.9690 0.0310  4 Ho 3.39-3.49, 6 Pm 3.44-3.78
Ho: 0.0515 0.2938 0.2014  5 Pm 3.31-3.50, 2 Th 3.39-3.49, 1 Dy 3.52
Ho: 0.4485 0.7986 0.7062  5 Pm 3.31-3.50, 2 Th 3.39-3.49, 1 Dy 3.52
Pm: 0.8824 0.2961 0.5157  4 Pm 3.28-3.65, 3 Ho 3.31-3.48, 2 Dy 3.44-3.56
Pm: 0.4414 0.2380 0.8887  7 Pm 3.46-3.80, 2 Ho 3.50-3.83, 2 Th 3.61-3.78
Pm: 0.1873 0.5732 0.0103  1 Pm 3.29, 1 Th 3.44, 1 Dy 3.45, 1 Ho 3.45
Pm: 0.9414 0.8887 0.2380  7 Pm 3.46-3.80, 2 Ho 3.50-3.83, 2 Th 3.61-3.78
Pm: 0.3127 0.9897 0.4268  1 Pm 3.29, 1 Th 3.44, 1 Dy 3.45, 1 Ho 3.45
Dy: 0.2500 0.4086 0.5914  6 Pm 3.44-3.56, 2 Ho 3.52
Pm: 0.5586 0.7620 0.1113  7 Pm 3.46-3.80, 2 Ho 3.50-3.83, 2 Th 3.61-3.78
Ho: 0.5515 0.2014 0.2938  5 Pm 3.31-3.50, 2 Th 3.39-3.49, 1 Dy 3.52
Pm: 0.1176 0.7039 0.4843  4 Pm 3.28-3.65, 3 Ho 3.31-3.48, 2 Dy 3.44-3.56
Dy: 0.7500 0.5914 0.4086  6 Pm 3.44-3.56, 2 Ho 3.52
Pm: 0.0586 0.1113 0.7620  7 Pm 3.46-3.80, 2 Ho 3.50-3.83, 2 Th 3.61-3.78

Values from the calculation:
The calculated formation energy is 0.145 eV per atom. Its space group is C2/c.

(9)
KCd2Sn2: optimized geometry, GGA-PBE.

a b c (Å): 9.1758 9.1758 3.3645
angles (deg): 90.00 90.00 90.00
Last column: nearest neighbours and their distance in Å.
Fractional coordinates of all 10 atoms:
Sn: 0.3434 0.1566 0.5000  6 Cd 3.17-3.18, 2 Sn 3.36
K: 0.5000 0.5000 0.0000  2 K 3.36, 4 Cd 3.57
Sn: 0.6566 0.8434 0.5000  6 Cd 3.17-3.18, 2 Sn 3.36
Cd: 0.8649 0.6351 0.0000  6 Sn 3.17-3.18, 3 Cd 3.36-3.51
Sn: 0.1566 0.6566 0.5000  6 Cd 3.17-3.18, 2 Sn 3.36
Cd: 0.1351 0.3649 0.0000  6 Sn 3.17-3.18, 3 Cd 3.36-3.51
Sn: 0.8434 0.3434 0.5000  6 Cd 3.17-3.18, 2 Sn 3.36
K: 0.0000 0.0000 0.0000  2 K 3.36, 4 Cd 3.57
Cd: 0.3649 0.8649 0.0000  6 Sn 3.17-3.18, 3 Cd 3.36-3.51
Cd: 0.6351 0.1351 0.0000  6 Sn 3.17-3.18, 3 Cd 3.36-3.51

Values from the calculation:
For the energy above the most stable polymorph in this dataset, the calculation gives 0.107 eV/atom. The calculated formation energy is -0.058 eV per atom. Its space group is P4/mbm.

(10)
TmSc2Zn2: optimized geometry, GGA-PBE.

a b c (Å): 4.7758 4.7758 5.7412
angles (deg): 90.00 90.00 120.00
Last column: nearest neighbours and their distance in Å.
Fractional coordinates of all 5 atoms:
Sc: 0.6667 0.3333 0.3520  5 Zn 2.83-2.98
Zn: 0.3333 0.6667 0.1553  5 Sc 2.83-2.98, 3 Tm 2.90
Sc: 0.3333 0.6667 0.6480  5 Zn 2.83-2.98
Tm: 0.0000 0.0000 0.0000  6 Zn 2.90
Zn: 0.6667 0.3333 0.8447  5 Sc 2.83-2.98, 3 Tm 2.90

Values from the calculation:
For the energy above the most stable polymorph in this dataset, the calculation gives 0.168 eV/atom. The calculated formation energy is -0.116 eV per atom. Its space group is P-3m1.

(11)
NbAgF3: optimized geometry, GGA-PBE.

a b c (Å): 4.4086 4.4086 4.4086
angles (deg): 90.00 90.00 90.00
Last column: nearest neighbours and their distance in Å.
Fractional coordinates of all 5 atoms:
Ag: 0.0000 0.0000 0.0000  6 F 2.20
Nb: 0.5000 0.5000 0.5000  12 F 3.12
F: 0.0000 0.5000 0.0000  2 Ag 2.20
F: 0.0000 0.0000 0.5000  2 Ag 2.20
F: 0.5000 0.0000 0.0000  2 Ag 2.20

Values from the calculation:
For the energy above the most stable polymorph in this dataset, the calculation gives 1.109 eV/atom. The raw formation energy is -0.488 eV/atom. Its space group is Pm-3m.

(12)
Ho4PaN5: optimized geometry, GGA-PBE.

a b c (Å): 4.8940 5.9883 5.9883
angles (deg): 80.39 65.88 65.88
Last column: nearest neighbours and their distance in Å.
Fractional coordinates of all 10 atoms:
N: 0.9064 0.3842 0.8050  1 Pa 2.35, 5 Ho 2.41-2.52
Ho: 0.1984 0.2035 0.4018  6 N 2.41-2.52
Ho: 0.4019 0.4018 0.7965  6 N 2.41-2.52
Ho: 0.8037 0.7965 0.5982  6 N 2.41-2.52
N: 0.5012 0.0000 0.0000  2 Pa 2.45, 4 Ho 2.46
N: 0.7114 0.1950 0.3842  1 Pa 2.35, 5 Ho 2.41-2.52
Pa: 0.0010 0.0000 0.0000  6 N 2.35-2.45
N: 0.2906 0.8050 0.6158  1 Pa 2.35, 5 Ho 2.41-2.52
Ho: 0.6002 0.5982 0.2035  6 N 2.41-2.52
N: 0.0956 0.6158 0.1950  1 Pa 2.35, 5 Ho 2.41-2.52

Values from the calculation:
The raw formation energy is -1.749 eV/atom. Its space group is I4/m.